(w)
Computed, not measured: an optimized crystal structure of BaPtRh2 at the GGA-PBEsol level of DFT.

a = 2.920 Å, b = 3.772 Å, c = 6.936 Å
α = 90.00°, β = 90.00°, γ = 90.00°
Positions (direct):
Rh: 0.000 0.000 0.684
Rh: 0.000 0.000 0.316
Ba: 0.500 0.500 0.000
Pt: 0.500 0.500 0.500

Results
M_tot, μB per formula unit: 0.00

---

(x)
Computed, not measured: an optimized crystal structure of BaPtRh2 at the GGA-PBEsol level of DFT.

a = 2.982 Å, b = 5.035 Å, c = 5.035 Å
α = 106.30°, β = 90.00°, γ = 90.00°
Positions (direct):
Ba: 0.500 0.000 0.000
Pt: 0.500 0.500 0.500
Rh: 0.000 0.000 0.500
Rh: 0.000 0.500 0.000

Results
M_tot, μB per formula unit: 0.00

---

Stability comparison, relative energies in kJ/mol of atoms: (w) 0.0; (x) 12.7

---

(w)
Computed, not measured: an optimized crystal structure of BaRuPt2 at the GGA-PBEsol level of DFT.

a = 2.888 Å, b = 4.404 Å, c = 6.362 Å
α = 90.00°, β = 87.27°, γ = 90.00°
Positions (direct):
Ru: 0.344 0.000 0.387
Pt: 0.863 0.500 0.300
Pt: 0.880 0.000 0.044
Ba: 0.413 0.500 0.769

Results
M_tot, μB per formula unit: 0.00

---

(x)
Computed, not measured: an optimized crystal structure of BaRuPt2 at the GGA-PBEsol level of DFT.

a = 4.808 Å, b = 4.808 Å, c = 4.808 Å
α = 60.00°, β = 60.00°, γ = 60.00°
Positions (direct):
Ba: 0.000 0.000 0.000
Pt: 0.750 0.750 0.750
Pt: 0.250 0.250 0.250
Ru: 0.500 0.500 0.500

Results
M_tot, μB per formula unit: 1.82

---

Stability comparison, relative energies in kJ/mol of atoms: (w) 0.0; (x) 35.6